Entry 1:
{"formula": "Mg2AsRh", "functional": "SCAN", "state": "single point on PBEsol structure", "dos_ef_per_ev_cell": 1.80, "ef_ev_per_atom": -0.4167, "lattice_angstrom": [[-0.580, -3.378, -2.091], [3.968, -0.386, -0.477], [-1.495, -0.232, 4.645]], "species": ["As", "Mg", "Mg", "Rh"], "frac_coords": [[0.000, 0.000, 0.000], [0.750, 0.250, 0.500], [0.250, 0.750, 0.500], [0.500, 0.500, 0.000]]}



Entry 2:
{"formula": "SrCrIr2", "functional": "SCAN", "state": "single point on PBEsol structure", "polymorph_energy_ev_per_fu": 1.99, "dos_ef_per_ev_cell": 3.64, "ef_ev_per_atom": 0.4392, "lattice_angstrom": [[2.858, 0.000, 0.000], [0.000, 4.907, 0.000], [-1.429, -2.453, 4.791]], "species": ["Cr", "Ir", "Ir", "Sr"], "frac_coords": [[0.000, 0.500, 0.000], [0.718, 0.718, 0.436], [0.282, 0.282, 0.564], [0.500, 0.000, 0.000]]}



Entry 3:
{"formula": "MnCd2Ni", "functional": "SCAN", "state": "single point on PBEsol structure", "polymorph_energy_ev_per_fu": 0.09, "dos_ef_per_ev_cell": 1.80, "ef_ev_per_atom": 0.0295, "lattice_angstrom": [[-2.314, 3.425, 1.616], [-4.432, -0.011, -0.229], [-2.412, -0.496, 3.693]], "species": ["Cd", "Cd", "Mn", "Ni"], "frac_coords": [[0.750, 0.750, 0.750], [0.250, 0.250, 0.250], [0.000, 0.000, 0.000], [0.500, 0.500, 0.500]]}



Entry 4:
{"formula": "ZrTc2Rh", "functional": "SCAN", "state": "single point on PBEsol structure", "polymorph_energy_ev_per_fu": 0.00, "dos_ef_per_ev_cell": 4.43, "ef_ev_per_atom": -0.2274, "lattice_angstrom": [[3.773, 0.000, 0.000], [0.000, 3.775, 0.000], [0.000, 0.000, 4.322]], "species": ["Rh", "Tc", "Tc", "Zr"], "frac_coords": [[0.000, 0.500, 0.500], [0.000, 0.000, 0.000], [0.500, 0.500, 0.000], [0.500, 0.000, 0.500]]}



Number 3 is which compound?
MnCd2Ni